{"formula": "SrNb2CoBr", "functional": "SCAN", "state": "single point on PBEsol structure", "crystal_system": "tetragonal", "density_g_cm3": 5.0, "spacegroup": "P4/mmm", "final_energy_ev_per_cell": -122.11, "formation_energy_uncorrected_ev_per_fu": 3.19, "lattice": [[4.450, 0.000, 0.000], [0.000, 4.450, 0.000], [0.000, 0.000, 6.952]], "species": ["Sr", "Nb", "Nb", "Co", "Br"], "fractional_positions": [[0.000, 0.000, 0.000], [0.000, 0.500, 0.500], [0.500, 0.000, 0.500], [0.500, 0.500, 0.500], [0.500, 0.500, 0.000]]}